Computed, not measured: a relaxed structure of Ca2Zn12Au5 at the GGA-PBE level of DFT.

a = 9.3775 Å, b = 9.3775 Å, c = 13.2924 Å
α = 90.00°, β = 90.00°, γ = 120.00°
With the nearest neighbours (Å) after each atom.
Space group R-3m (No. 166, hexagonal axes)
One atom of each set of equivalent atoms:
Ca 0.0000 0.0000 0.1618 (multiplicity 6)  1 Au 3.07, 9 Zn 3.27-3.29
Zn 0.0000 0.3002 0.5000 (multiplicity 18)  2 Au 2.64, 6 Zn 2.77-2.82
Zn 0.0125 0.5062 0.6536 (multiplicity 18)  6 Zn 2.63-2.80, 2 Au 2.76
Au 0.0000 0.0000 0.3927 (multiplicity 6)  4 Au 2.82-2.85, 9 Zn 2.97-3.16, 1 Ca 3.07
Au 0.0000 0.5000 0.0000 (multiplicity 9)  8 Zn 2.64-2.76, 2 Au 2.82

---

Computed, not measured: a relaxed structure of Ca3Zn2Au4 at the GGA-PBE level of DFT.

a = 10.8355 Å, b = 4.6215 Å, c = 8.7895 Å
α = 90.00°, β = 112.80°, γ = 90.00°
With the nearest neighbours (Å) after each atom.
Space group C2/m (No. 12)
One atom of each set of equivalent atoms:
Ca 0.0000 0.0000 0.0000 (multiplicity 2)  8 Au 3.20-3.34
Ca 0.1418 0.5000 0.6889 (multiplicity 4)  8 Au 3.08-3.38, 4 Zn 3.20-3.22
Zn 0.1600 0.5000 0.3324 (multiplicity 4)  4 Au 2.60-2.82
Au 0.0856 0.0000 0.4077 (multiplicity 4)  3 Zn 2.62-2.82, 1 Au 2.90
Au 0.2203 0.5000 0.0735 (multiplicity 4)  1 Zn 2.60, 2 Au 2.84

---

Computed, not measured: a relaxed structure of Ca5ZnAu2 at the GGA-PBE level of DFT.

a = 7.9093 Å, b = 13.0280 Å, c = 4.5465 Å
α = 90.00°, β = 90.00°, γ = 90.00°
With the nearest neighbours (Å) after each atom.
Space group Pbam (No. 55)
One atom of each set of equivalent atoms:
Ca 0.0000 0.0000 0.0000 (multiplicity 2)  4 Au 3.21
Ca 0.1620 0.2917 0.0000 (multiplicity 4)  1 Zn 3.00, 4 Au 3.24-3.25
Ca 0.1790 0.5989 0.5000 (multiplicity 4)  2 Zn 2.97, 2 Au 3.09-3.17
Zn 0.0000 0.5000 0.0000 (multiplicity 2)  6 Ca 2.97-3.00
Au 0.0507 0.8292 0.5000 (multiplicity 4)  8 Ca 3.09-3.25

---

Here are the calculated formation energy numbers, same order: -0.25 -0.66 -0.46 (eV/atom).